Density functional theory data (GGA-PBE) for an optimized crystal structure of ZrVCr.

Properties
Energy relative to the elements, eV per atom: 0.1143
Energy above the lowest structure with this stoichiometry, kJ per mole of atoms: 13.6

Cell: 5.416 5.416 5.416 Å, 146.77 146.77 47.70°
Positions (direct):
1 Zr 0.000 0.000 0.000
2 V 0.305 0.305 0.000
3 Cr 0.684 0.684 0.000

Density functional theory data (GGA-PBE) for an optimized crystal structure of Pm3Er3In2.

Properties
Energy relative to the elements, eV per atom: -0.2643
Energy above the lowest structure with this stoichiometry, kJ per mole of atoms: 0.0

Cell: 4.865 4.877 9.839 Å, 90.00 90.00 90.00°
Positions (direct):
1 Pm 0.000 0.000 0.000
2 Pm 0.000 0.000 0.500
3 Pm 0.500 0.500 0.000
4 Er 0.500 0.000 0.252
5 Er 0.500 0.000 0.748
6 Er 0.500 0.500 0.500
7 In 0.000 0.500 0.254
8 In 0.000 0.500 0.746

Density functional theory data (GGA-PBE) for an optimized crystal structure of Pr2YNi6.

Properties
Energy relative to the elements, eV per atom: -0.3189

Cell: 6.956 6.956 3.963 Å, 90.00 90.00 120.00°
Positions (direct):
1 Pr 0.333 0.667 0.000
2 Pr 0.667 0.333 0.000
3 Y 0.000 0.000 0.000
4 Ni 0.000 0.331 0.500
5 Ni 0.000 0.669 0.500
6 Ni 0.331 0.000 0.500
7 Ni 0.331 0.331 0.500
8 Ni 0.669 0.000 0.500
9 Ni 0.669 0.669 0.500

Density functional theory data (GGA-PBE) for an optimized crystal structure of Ac8CuIr2.

Properties
Energy relative to the elements, eV per atom: -0.2150

Cell: 7.977 7.977 8.048 Å, 91.24 91.24 57.14°
Positions (direct):
1 Ac 0.209 0.715 0.722
2 Ac 0.210 0.210 0.881
3 Ac 0.285 0.791 0.278
4 Ac 0.291 0.291 0.398
5 Ac 0.709 0.709 0.602
6 Ac 0.715 0.209 0.722
7 Ac 0.790 0.790 0.119
8 Ac 0.791 0.285 0.278
9 Cu 0.000 0.000 0.000
10 Ir 0.109 0.109 0.559
11 Ir 0.891 0.891 0.441

Density functional theory data (GGA-PBE) for an optimized crystal structure of Gd2Al6Si4Pt.

Properties
Electronic total energy, eV per atom: -6.56

Cell: 17.082 17.082 17.082 Å, 14.07 14.07 14.07°
Positions (direct):
1 Gd 0.066 0.066 0.066
2 Gd 0.934 0.934 0.934
3 Al 0.182 0.182 0.182
4 Al 0.315 0.315 0.315
5 Al 0.450 0.450 0.450
6 Al 0.550 0.550 0.550
7 Al 0.685 0.685 0.685
8 Al 0.818 0.818 0.818
9 Si 0.234 0.234 0.234
10 Si 0.365 0.365 0.365
11 Si 0.635 0.635 0.635
12 Si 0.766 0.766 0.766
13 Pt 0.500 0.500 0.500

Density functional theory data (GGA-PBE) for an optimized crystal structure of Be2CrCu.

Properties
Energy relative to the elements, eV per atom: 0.1292

Cell: 7.920 7.920 7.920 Å, 17.90 17.90 17.90°
Positions (direct):
1 Be 0.249 0.249 0.249
2 Be 0.751 0.751 0.751
3 Cr 0.000 0.000 0.000
4 Cu 0.500 0.500 0.500

Density functional theory data (GGA-PBE) for an optimized crystal structure of La2Zr.

Properties
Energy relative to the elements, eV per atom: 0.1731
Energy above the lowest structure with this stoichiometry, kJ per mole of atoms: 4.8

Cell: 6.105 6.105 5.780 Å, 90.00 90.00 120.00°
Positions (direct):
1 La 0.000 0.000 0.000
2 La 0.000 0.628 0.500
3 La 0.372 0.372 0.500
4 La 0.628 0.000 0.500
5 Zr 0.333 0.667 0.000
6 Zr 0.667 0.333 0.000

Density functional theory data (GGA-PBE) for an optimized crystal structure of La2SmPd4.

Properties
Energy relative to the elements, eV per atom: -0.2829

Cell: 8.379 8.379 8.379 Å, 144.06 144.06 51.74°
Positions (direct):
1 La 0.139 0.139 0.000
2 La 0.861 0.861 0.000
3 Sm 0.500 0.500 0.000
4 Pd 0.000 0.500 0.500
5 Pd 0.313 0.313 0.000
6 Pd 0.500 0.000 0.500
7 Pd 0.687 0.687 0.000